# CaHgTe2 | Alexandria via LeMat-Bulk | PBE-GGA | optimized geometry
data_CaHgTe2
_cell_length_a 4.9359
_cell_length_b 4.9359
_cell_length_c 24.8130
_cell_angle_alpha 90.00
_cell_angle_beta 90.00
_cell_angle_gamma 120.00
_symmetry_space_group_name_H-M 'R -3 m'
_symmetry_Int_Tables_number 166
_symmetry_space_group_name_Hall '-R 3 2"'
loop_
_atom_site_label
_atom_site_fract_x
_atom_site_fract_y
_atom_site_fract_z
Ca1 0.0000 0.0000 0.0000
Hg1 0.0000 0.0000 0.5000
Te1 0.0000 0.0000 0.3929
# **VASP energy**: -2.94 eV/atom
# **Formation energy (no corrections)**: -3.2 eV/f.u.


# CaHgTe2 | Alexandria via LeMat-Bulk | PBE-GGA | optimized geometry
data_CaHgTe2
_cell_length_a 4.3714
_cell_length_b 4.3714
_cell_length_c 12.6050
_cell_angle_alpha 90.00
_cell_angle_beta 90.00
_cell_angle_gamma 90.00
_symmetry_space_group_name_H-M 'I -4 m 2'
_symmetry_Int_Tables_number 119
_symmetry_space_group_name_Hall 'I -4 -2'
loop_
_atom_site_label
_atom_site_fract_x
_atom_site_fract_y
_atom_site_fract_z
Ca1 0.0000 0.0000 0.0000
Hg1 0.0000 0.5000 0.7500
Te1 0.0000 0.0000 0.5000
Te2 0.0000 0.5000 0.2500
# **VASP energy**: -2.77 eV/atom
# **Formation energy (no corrections)**: -2.5 eV/f.u.


# CaHgTe | Alexandria via LeMat-Bulk | PBE-GGA | optimized geometry
data_CaHgTe
_cell_length_a 4.6093
_cell_length_b 4.6093
_cell_length_c 5.3226
_cell_angle_alpha 90.00
_cell_angle_beta 90.00
_cell_angle_gamma 120.00
_symmetry_space_group_name_H-M 'P 3 m 1'
_symmetry_Int_Tables_number 156
loop_
_symmetry_equiv_pos_as_xyz
'x,y,z'
'-y,x-y,z'
'-x+y,-x,z'
'-y,-x,z'
'-x+y,y,z'
'x,x-y,z'
loop_
_atom_site_label
_atom_site_fract_x
_atom_site_fract_y
_atom_site_fract_z
Ca1 0.0000 0.0000 0.0000
Hg1 0.6667 0.3333 0.3513
Te1 0.3333 0.6667 0.6966
# **Relative energy among the computed polymorphs**: 0.157 eV per atom
# **VASP energy**: -2.68 eV/atom
# **Formation energy (no corrections)**: -2.6 eV/f.u.


# CaHgTe2 | Alexandria via LeMat-Bulk | PBE-GGA | optimized geometry
data_CaHgTe2
_cell_length_a 6.7176
_cell_length_b 8.2496
_cell_length_c 4.1707
_cell_angle_alpha 90.00
_cell_angle_beta 90.00
_cell_angle_gamma 90.00
_symmetry_space_group_name_H-M 'C m m m'
_symmetry_Int_Tables_number 65
_symmetry_space_group_name_Hall '-C 2 2'
loop_
_atom_site_label
_atom_site_fract_x
_atom_site_fract_y
_atom_site_fract_z
Ca1 0.0000 0.0000 0.0000
Hg1 0.0000 0.5000 0.0000
Te1 0.2500 0.2500 0.5000
# **VASP energy**: -2.77 eV/atom
# **Formation energy (no corrections)**: -2.5 eV/f.u.


# CaHgTe | Alexandria via LeMat-Bulk | PBE-GGA | optimized geometry
data_CaHgTe
_cell_length_a 4.2804
_cell_length_b 4.2804
_cell_length_c 9.8642
_cell_angle_alpha 90.00
_cell_angle_beta 90.00
_cell_angle_gamma 90.00
_symmetry_space_group_name_H-M 'I 4 m m'
_symmetry_Int_Tables_number 107
_symmetry_space_group_name_Hall 'I 4 -2'
loop_
_atom_site_label
_atom_site_fract_x
_atom_site_fract_y
_atom_site_fract_z
Ca1 0.0000 0.0000 0.0000
Hg1 0.0000 0.0000 0.3164
Te1 0.0000 0.0000 0.6432
# **Relative energy among the computed polymorphs**: 0.216 eV per atom
# **VASP energy**: -2.62 eV/atom
# **Formation energy (no corrections)**: -2.4 eV/f.u.


# CaHgTe | Alexandria via LeMat-Bulk | PBE-GGA | optimized geometry
data_CaHgTe
_cell_length_a 4.4539
_cell_length_b 9.7212
_cell_length_c 6.3023
_cell_angle_alpha 90.00
_cell_angle_beta 134.98
_cell_angle_gamma 90.00
_symmetry_space_group_name_H-M 'P 1 c 1'
_symmetry_Int_Tables_number 7
loop_
_symmetry_equiv_pos_as_xyz
'x,y,z'
'x,-y,z+1/2'
loop_
_atom_site_label
_atom_site_fract_x
_atom_site_fract_y
_atom_site_fract_z
Ca1 0.0000 0.1586 0.0000
Hg1 0.4882 0.4994 0.0338
Te1 0.9999 0.1674 0.5003
# **Relative energy among the computed polymorphs**: 0.028 eV per atom
# **VASP energy**: -2.81 eV/atom
# **Formation energy (no corrections)**: -3.0 eV/f.u.


- The highest VASP energy belongs to which entry?
  number 5


- Number 5 is which compound?
  CaHgTe